# Rb2Be2F PBE-GGA relaxed
data_Rb2Be2F
_space_group_name_H-M_alt 'I 4/m m m'
_space_group_IT_number 139
_space_group_name_Hall '-I 4 2'
_cell_length_a 6.924
_cell_length_b 6.924
_cell_length_c 5.825
_cell_angle_alpha 90.00
_cell_angle_beta 90.00
_cell_angle_gamma 90.00
loop_
_atom_site_label
_atom_site_fract_x
_atom_site_fract_y
_atom_site_fract_z
Rb1 0.000 0.500 0.250
Be1 0.000 0.000 0.186
F1 0.000 0.000 0.500
# - Calculated volume: 140 Å³/f.u.
# - Polymorph energy (0 for the lowest one): 621 meV per atom
# - Mass density: 2.47 g/cm³
# - Fermi-level density of states: 6.7 states/eV/cell
# - E_form (uncorrected): 0.146 eV per atom